No. 1
A plane-wave DFT calculation with GGA-PBE was carried out for K2DyGaI6 after structural relaxation.

Lattice parameters (Å, degrees): 8.5457 8.5453 8.7783 60.87 60.86 59.99
Last column: nearest neighbours and their distance in Å.
Fractional coordinates of all 10 atoms:
I  0.4564  0.6683  0.7759  1 Dy 3.07, 1 Ga 3.26
I  0.5662  0.1862  0.2622  1 Dy 3.04, 1 Ga 3.40
I  0.1862  0.9854  0.2622  1 Dy 3.04, 1 Ga 3.40
I  0.9854  0.5662  0.2622  1 Dy 3.04, 1 Ga 3.40
I  0.6683  0.0993  0.7760  1 Dy 3.07, 1 Ga 3.26
I  0.0993  0.4565  0.7761  1 Dy 3.07, 1 Ga 3.26
K  0.5333  0.5332  0.4003  6 I 3.56-3.67
K  0.0247  0.0247  0.9259  6 I 3.54-3.64
Dy  0.3238  0.3238  0.0286  6 I 3.04-3.07
Ga  0.8181  0.8181  0.5458  6 I 3.26-3.40

Calculated values
Crystal system = trigonal
ρ = 3.88 g/cm³
Energy relative to the elements, uncorrected = -1.21 eV per atom



No. 2
A plane-wave DFT calculation with GGA-PBE was carried out for BaTcBi2O8 after structural relaxation.

Lattice parameters (Å, degrees): 5.3179 5.3150 7.2332 85.51 85.53 84.33
Last column: nearest neighbours and their distance in Å.
Fractional coordinates of all 12 atoms:
O  0.8149  0.1918  0.8088  1 Tc 1.93
O  0.6658  0.6687  0.4904  2 Bi 2.15-2.27
O  0.7588  0.7628  0.0229  1 Tc 1.88
O  0.1884  0.8120  0.8091  1 Tc 1.93
O  0.8116  0.1880  0.1909  1 Tc 1.93
O  0.2412  0.2372  0.9771  1 Tc 1.88
O  0.3342  0.3313  0.5096  2 Bi 2.15-2.27
O  0.1851  0.8082  0.1912  1 Tc 1.93
Bi  0.4753  0.4751  0.7476  5 O 2.15-2.36
Bi  0.5247  0.5249  0.2524  5 O 2.15-2.36
Ba  0.0000  0.0000  0.5000  6 O 2.61-2.63
Tc  0.0000  0.0000  0.0000  6 O 1.88-1.93

Calculated values
Crystal system = triclinic
ρ = 6.41 g/cm³
Energy relative to the elements, uncorrected = -1.36 eV per atom



No. 3
A plane-wave DFT calculation with GGA-PBE was carried out for PmCdSiAg after structural relaxation.

Lattice parameters (Å, degrees): 4.9565 4.9565 4.9565 60.00 60.00 60.00
Last column: nearest neighbours and their distance in Å.
Fractional coordinates of all 4 atoms:
Pm  0.5000  0.5000  0.5000  4 Ag 3.04, 4 Si 3.04
Cd  0.0000  0.0000  0.0000  4 Si 3.04, 4 Ag 3.04
Ag  0.2500  0.2500  0.2500  4 Cd 3.04, 4 Pm 3.04
Si  0.7500  0.7500  0.7500  4 Cd 3.04, 4 Pm 3.04

Calculated values
Crystal system = cubic
ρ = 7.59 g/cm³
Energy relative to the elements, uncorrected = -0.22 eV per atom



No. 4
A plane-wave DFT calculation with GGA-PBE was carried out for Cu4PdAu3 after structural relaxation.

Lattice parameters (Å, degrees): 5.9022 5.9022 5.9022 123.77 105.13 100.55
Last column: nearest neighbours and their distance in Å.
Fractional coordinates of all 8 atoms:
Cu  0.5884  0.7371  0.8512  2 Cu 2.39, 1 Pd 2.57, 3 Au 2.58-2.60
Cu  0.1141  0.2629  0.8512  2 Cu 2.39, 1 Pd 2.57, 3 Au 2.58-2.60
Cu  0.3941  0.7808  0.1749  3 Cu 2.39-2.44, 2 Au 2.49-2.53, 1 Pd 2.66
Cu  0.3941  0.2192  0.6133  3 Cu 2.39-2.44, 2 Au 2.49-2.53, 1 Pd 2.66
Au  0.7403  0.7392  0.4795  3 Cu 2.49-2.58, 1 Au 2.66
Au  0.0856  0.0000  0.0856  4 Cu 2.53-2.60, 2 Pd 2.78
Au  0.7403  0.2608  0.0010  3 Cu 2.49-2.58, 1 Au 2.66
Pd  0.0942  0.5000  0.5942  4 Cu 2.57-2.66, 4 Au 2.78-2.87

Calculated values
Crystal system = orthorhombic
ρ = 10.49 g/cm³
Total DFT energy (no corrections) = -3.58 eV per atom



No. 5
A plane-wave DFT calculation with GGA-PBE was carried out for BaAl2Se4 after structural relaxation.

Lattice parameters (Å, degrees): 6.5874 6.5874 6.5874 102.31 102.31 125.00
Last column: nearest neighbours and their distance in Å.
Fractional coordinates of all 7 atoms:
Ba  0.5000  0.5000  0.0000  4 Se 3.36
Al  0.7500  0.2500  0.5000  4 Se 2.42
Al  0.2500  0.7500  0.5000  4 Se 2.42
Se  0.6820  0.8637  0.5457  2 Al 2.42
Se  0.8637  0.3180  0.1817  2 Al 2.42
Se  0.3180  0.1363  0.4543  2 Al 2.42
Se  0.1363  0.6820  0.8183  2 Al 2.42

Calculated values
Crystal system = tetragonal
ρ = 4.05 g/cm³
Energy relative to the elements, uncorrected = -1.25 eV per atom



No. 6
A plane-wave DFT calculation with GGA-PBE was carried out for SrCaNdY after structural relaxation.

Lattice parameters (Å, degrees): 6.0400 6.0400 6.0400 60.00 60.00 60.00
Last column: nearest neighbours and their distance in Å.
Fractional coordinates of all 4 atoms:
Nd  0.5000  0.5000  0.5000  4 Ca 3.70, 4 Y 3.70
Ca  0.2500  0.2500  0.2500  4 Nd 3.70, 4 Sr 3.70
Y  0.7500  0.7500  0.7500  4 Nd 3.70, 4 Sr 3.70
Sr  0.0000  0.0000  0.0000  4 Ca 3.70, 4 Y 3.70

Calculated values
Crystal system = cubic
ρ = 3.85 g/cm³
Total DFT energy (no corrections) = -3.56 eV per atom



No. 7
A plane-wave DFT calculation with GGA-PBE was carried out for ScHPd3 after structural relaxation.

Lattice parameters (Å, degrees): 4.0285 8.7360 4.0286 76.66 90.00 103.34
Last column: nearest neighbours and their distance in Å.
Fractional coordinates of all 10 atoms:
Pd  0.3287  0.3193  0.0979  1 H 1.82
Pd  0.0895  0.8410  0.3370  1 H 1.82
Pd  0.7091  0.0802  0.2175  4 Sc 2.81, 8 Pd 2.82-2.85
Pd  0.4590  0.5802  0.4676  4 H 2.04
Pd  0.2091  0.0802  0.7175  4 Sc 2.81, 8 Pd 2.82-2.85
Pd  0.9589  0.5802  0.9675  4 H 2.03-2.05
H  0.9789  0.6203  0.4473  5 Pd 1.82-2.04
H  0.4373  0.5401  0.9881  3 Pd 1.82-2.04
Sc  0.8273  0.3167  0.5993  1 H 2.51, 4 Pd 2.81
Sc  0.5908  0.8437  0.8358  1 H 2.51, 4 Pd 2.81

Calculated values
Crystal system = monoclinic
ρ = 9.05 g/cm³
Total DFT energy (no corrections) = -5.75 eV per atom



No. 8
A plane-wave DFT calculation with GGA-PBE was carried out for AgGeMo after structural relaxation.

Lattice parameters (Å, degrees): 4.1227 4.1227 7.7589 74.59 74.59 60.00
Last column: nearest neighbours and their distance in Å.
Fractional coordinates of all 6 atoms:
Ge  0.5859  0.5859  0.2422  4 Mo 2.57-2.61, 3 Ag 2.65
Ge  0.4141  0.4141  0.7578  4 Mo 2.57-2.61, 3 Ag 2.65
Mo  0.2963  0.2963  0.1112  4 Ge 2.57-2.61
Mo  0.7037  0.7037  0.8888  4 Ge 2.57-2.61
Ag  0.1328  0.1328  0.6015  3 Ge 2.65, 3 Ag 2.81
Ag  0.8672  0.8672  0.3985  3 Ge 2.65, 3 Ag 2.81

Calculated values
Crystal system = trigonal
ρ = 8.45 g/cm³
Total DFT energy (no corrections) = -5.79 eV per atom



No. 9
A plane-wave DFT calculation with GGA-PBE was carried out for Ca2BP after structural relaxation.

Lattice parameters (Å, degrees): 7.4094 7.4094 6.1837 53.19 53.19 90.00
Last column: nearest neighbours and their distance in Å.
Fractional coordinates of all 8 atoms:
Ca  0.8750  0.8626  0.7500  2 B 2.68, 2 P 2.81
Ca  0.3750  0.3874  0.7500  2 B 2.68, 2 P 2.81
Ca  0.6126  0.1250  0.2500  2 B 2.68, 2 P 2.81
Ca  0.1374  0.6250  0.2500  2 B 2.68, 2 P 2.81
P  0.0000  0.0000  0.0000  4 Ca 2.81
P  0.7500  0.2500  0.5000  4 Ca 2.81
B  0.5000  0.5000  0.0000  4 Ca 2.68
B  0.2500  0.7500  0.5000  4 Ca 2.68

Calculated values
Crystal system = tetragonal
ρ = 2.25 g/cm³
Total DFT energy (no corrections) = -3.75 eV per atom



No. 10
A plane-wave DFT calculation with GGA-PBE was carried out for SrAsSe2S after structural relaxation.

Lattice parameters (Å, degrees): 5.8566 5.8566 6.1158 90.00 90.00 90.00
Last column: nearest neighbours and their distance in Å.
Fractional coordinates of all 5 atoms:
S  0.5000  0.5000  0.5000  4 As 4.14, 8 Se 4.23
Se  0.5000  0.0000  0.0000  2 Sr 2.93
Se  0.0000  0.5000  0.0000  2 Sr 2.93
Sr  0.0000  0.0000  0.0000  4 Se 2.93, 2 As 3.06
As  0.0000  0.0000  0.5000  2 Sr 3.06

Calculated values
Crystal system = tetragonal
ρ = 2.79 g/cm³
Energy relative to the elements, uncorrected = 0.84 eV per atom



No. 11
A plane-wave DFT calculation with GGA-PBE was carried out for CeAl2Pd2 after structural relaxation.

Lattice parameters (Å, degrees): 4.3073 4.3073 10.3497 90.00 90.00 90.00
Last column: nearest neighbours and their distance in Å.
Fractional coordinates of all 10 atoms:
Pd  0.5000  0.5000  0.5000  4 Al 2.52
Pd  0.5000  0.0000  0.1330  5 Al 2.50-2.56
Pd  0.0000  0.5000  0.8670  5 Al 2.50-2.56
Pd  0.0000  0.0000  0.5000  4 Al 2.52
Al  0.5000  0.0000  0.3743  5 Pd 2.50-2.52
Al  0.0000  0.5000  0.6257  5 Pd 2.50-2.52
Al  0.5000  0.5000  0.0000  4 Pd 2.56
Al  0.0000  0.0000  0.0000  4 Pd 2.56
Ce  0.0000  0.5000  0.2478  8 Pd 3.27-3.38, 8 Al 3.32-3.35
Ce  0.5000  0.0000  0.7522  8 Pd 3.27-3.38, 8 Al 3.32-3.35

Calculated values
Crystal system = tetragonal
ρ = 7.04 g/cm³
Total DFT energy (no corrections) = -5.57 eV per atom



No. 12
A plane-wave DFT calculation with GGA-PBE was carried out for ZnRe2Au after structural relaxation.

Lattice parameters (Å, degrees): 2.7426 2.7426 9.3207 90.00 90.00 115.58
Last column: nearest neighbours and their distance in Å.
Fractional coordinates of all 4 atoms:
Au  0.5000  0.5000  0.7419  2 Zn 2.74, 6 Au 2.74-2.92, 2 Re 2.95
Re  0.5000  0.5000  0.2481  6 Re 2.61-2.74, 2 Zn 2.71
Re  0.0000  0.0000  0.0165  6 Re 2.61-2.74
Zn  0.0000  0.0000  0.4935  2 Re 2.71, 2 Au 2.74, 6 Zn 2.74-2.92

Calculated values
Crystal system = orthorhombic
ρ = 16.67 g/cm³
Total DFT energy (no corrections) = -7.11 eV per atom